# PBE-GGA TaGaCuPt, relaxed
data_TaGaCuPt
_cell_length_a 4.427
_cell_length_b 4.427
_cell_length_c 4.427
_cell_angle_alpha 60.00
_cell_angle_beta 60.00
_cell_angle_gamma 60.00
_space_group_name_H-M_alt 'P 1'
_space_group_IT_number 1
_space_group_name_Hall 'P 1'
loop_
_atom_site_label
_atom_site_type_symbol
_atom_site_fract_x
_atom_site_fract_y
_atom_site_fract_z
_atom_site_occupancy
Ta1 Ta 0.000 0.000 0.000 1
Ga1 Ga 0.250 0.250 0.250 1
Cu1 Cu 0.500 0.500 0.500 1
Pt1 Pt 0.750 0.750 0.750 1
# Excess energy over the best structure of this formula in the dataset   0.010 eV per atom
# Spin magnetization   0.0 μB/f.u.